# Pm2DyY6Tm | the Alexandria database | PBE-GGA | optimized geometry
# - Total energy: -224.95 eV per cell
# - Density: 5.9 Mg/m³
# - Energy relative to the elements: 1.12 eV/f.u.
data_Pm2DyY6Tm
_chemical_formula_sum 'Pm8 Dy4 Y24 Tm4'
_space_group_name_H-M_alt 'C 1 2/c 1'
_space_group_IT_number 15
_cell_length_a 9.073
_cell_length_b 15.032
_cell_length_c 9.733
_cell_angle_alpha 90.00
_cell_angle_beta 99.43
_cell_angle_gamma 90.00
loop_
_space_group_symop_operation_xyz
'x,y,z'
'-x,-y,-z'
'-x,y,-z+1/2'
'x,-y,z+1/2'
'x+1/2,y+1/2,z'
'-x+1/2,-y+1/2,-z'
'-x+1/2,y+1/2,-z+1/2'
'x+1/2,-y+1/2,z+1/2'
loop_
_atom_site_label
_atom_site_fract_x
_atom_site_fract_y
_atom_site_fract_z
_atom_site_occupancy
Pm1 0.245 0.050 0.045 1
Dy1 0.000 0.019 0.750 1
Y1 0.064 0.188 0.443 1
Y2 0.102 0.395 0.618 1
Y3 0.204 0.222 0.814 1
Tm1 0.000 0.407 0.250 1